First-principles (PBEsol) data for an optimized crystal structure of CrGaBr3, as listed in Alexandria via LeMat-Bulk.

Summary:
Total DFT energy (no corrections) (eV/cell): -21.352
Crystal system: cubic
E_form (uncorrected) (eV per atom): -0.4321
V (Å³ per cell): 131.4
Space group: Pm-3m, No. 221

abc: 5.0844 5.0844 5.0844
angles: 90.00 90.00 90.00
With the nearest neighbours (Å) after each atom.
Sites, in units of the cell vectors:
Cr (0.0000, 0.0000, 0.0000)  6 Br 2.54
Ga (0.5000, 0.5000, 0.5000)  12 Br 3.60
Br (0.0000, 0.5000, 0.0000)  2 Cr 2.54
Br (0.0000, 0.0000, 0.5000)  2 Cr 2.54
Br (0.5000, 0.0000, 0.0000)  2 Cr 2.54